The following is a DFT calculation (PBE) of a relaxed Ac3In crystal.

The space group is P6_3/mmc (No. 194) and the conventional cell measures 7.7126, 7.7126 and 5.9772 Å, with angles of 90.00, 90.00 and 120.00 degrees. Symmetry generates all atoms from Ac at (0.1758, 0.3517, 0.2500) and In at (0.3333, 0.6667, 0.7500).

The calculation puts the total energy at -3.94 eV per atom. The value obtained for the formation energy is -0.7 eV/f.u. The magnetic moment comes out at 0.00 μB/atom. For the density of states at the Fermi level, the calculation gives 10.53 states/eV per cell. The volume is 307.9 Å³ per cell. The crystal system is hexagonal.

***

The following is a DFT calculation (PBE) of a relaxed Er3ScO crystal.

The space group is Pm-3m (No. 221) and the conventional cell measures 4.8150, 4.8150 and 4.8150 Å, with angles of 90.00, 90.00 and 90.00 degrees. Symmetry generates all atoms from Er at (0.0000, 0.0000, 0.5000), Sc at (0.5000, 0.5000, 0.5000) and O at (0.0000, 0.0000, 0.0000).

For the raw formation energy, the calculation gives -1130 meV/atom. The calculation puts the total energy at -6.13 eV per atom. The magnetic moment comes out at 0.00 μB/atom. For the density of states at the Fermi level, the calculation gives 5.75 states/eV per cell. The volume is 111.6 Å³ per cell. The crystal system is cubic.

***

The following is a DFT calculation (PBE) of a relaxed HfSnW2 crystal.

The space group is I-42d (No. 122) and the conventional cell measures 7.6118, 7.6118 and 5.6278 Å, with angles of 90.00, 90.00 and 90.00 degrees. Symmetry generates all atoms from Hf at (0.0000, 0.0000, 0.0000), Sn at (0.0000, 0.0000, 0.5000) and W at (0.2443, 0.2500, 0.6250).

The calculation puts the total energy at -8.89 eV per atom. The value obtained for the formation energy is 4.3 eV/f.u. The magnetic moment comes out at 0.00 μB/atom. For the density of states at the Fermi level, the calculation gives 21.17 states/eV per cell. The volume is 326.1 Å³ per cell. The crystal system is tetragonal.